# 1
A relaxed Y2HBr crystal, computed with PBE-GGA.

```
Y2HBr
1.0
6.827 0.000 0.000
0.000 6.827 0.000
3.414 3.414 3.714
H Y Br
2 4 2
Direct
0.500 0.500 0.000 H
0.250 0.750 0.500 H
0.534 0.125 0.250 Y
0.875 0.784 0.750 Y
0.375 0.466 0.750 Y
0.216 0.625 0.250 Y
0.000 0.000 0.000 Br
0.750 0.250 0.500 Br
```

Output
* crystal system: tetragonal
* distance to the lowest polymorph of the same formula: 0.158 eV/atom
* DOS(E_F): 6.7 states/eV per cell

=====

# 2
A relaxed ReNiPt crystal, computed with PBE-GGA.

```
ReNiPt
1.0
-0.959 3.784 3.333
-5.710 -2.638 1.352
3.549 -2.194 3.511
Pt Ni Re
4 4 4
Direct
0.674 0.811 0.617 Pt
0.174 0.189 0.883 Pt
0.826 0.811 0.117 Pt
0.326 0.189 0.383 Pt
0.668 0.162 0.003 Ni
0.168 0.838 0.497 Ni
0.832 0.162 0.503 Ni
0.332 0.838 0.997 Ni
0.935 0.457 0.275 Re
0.435 0.543 0.225 Re
0.065 0.543 0.725 Re
0.565 0.457 0.775 Re
```

Output
* crystal system: monoclinic
* distance to the lowest polymorph of the same formula: 0.164 eV/atom
* formation energy from the elements: 0.24 eV/f.u.
* DOS(E_F): 11.7 states/eV per cell

=====

# 3
A relaxed CaZn2Cr crystal, computed with PBE-GGA.

```
CaZn2Cr
1.0
-0.318 4.638 -0.969
-4.134 2.267 0.572
-0.521 3.133 3.530
Ca Cr Zn
1 1 2
Direct
0.500 0.500 0.500 Ca
0.750 0.750 0.750 Cr
0.250 0.250 0.250 Zn
0.000 0.000 0.000 Zn
```

Output
* crystal system: cubic
* formation energy from the elements: 0.89 eV/f.u.
* DOS(E_F): 1.5 states/eV per cell

=====

# 4
A relaxed Pr6P2PbBr3 crystal, computed with PBE-GGA.

```
Pr6P2PbBr3
1.0
4.315 0.000 0.000
0.000 8.892 0.196
-2.157 -2.689 9.284
P Br Pr Pb
2 3 6 1
Direct
0.171 0.341 0.341 P
0.829 0.659 0.659 P
0.164 0.835 0.328 Br
0.500 0.500 0.000 Br
0.836 0.165 0.672 Br
0.981 0.741 0.962 Pr
0.323 0.440 0.646 Pr
0.019 0.259 0.038 Pr
0.332 0.873 0.664 Pr
0.668 0.127 0.336 Pr
0.677 0.560 0.354 Pr
0.500 0.000 0.000 Pb
```

Output
* crystal system: monoclinic
* DOS(E_F): 6.1 states/eV per cell
* raw formation energy: -1.281 eV/atom

=====

# 5
A relaxed Ta3C2 crystal, computed with PBE-GGA.

```
Ta3C2
1.0
-1.631 2.624 -0.561
-1.463 -2.779 0.046
-5.101 3.179 29.687
Ta C
12 8
Direct
0.000 0.000 0.877 Ta
0.000 0.000 0.123 Ta
0.667 0.333 0.205 Ta
0.333 0.667 0.795 Ta
0.333 0.667 0.541 Ta
0.667 0.333 0.624 Ta
0.667 0.333 0.042 Ta
0.000 0.000 0.712 Ta
0.333 0.667 0.958 Ta
0.000 0.000 0.288 Ta
0.667 0.333 0.459 Ta
0.333 0.667 0.376 Ta
0.667 0.333 0.755 C
0.000 0.000 0.419 C
0.667 0.333 0.332 C
0.333 0.667 0.083 C
0.333 0.667 0.245 C
0.333 0.667 0.668 C
0.667 0.333 0.917 C
0.000 0.000 0.581 C
```

Output
* crystal system: trigonal
* distance to the lowest polymorph of the same formula: 0.018 eV/atom
* formation energy from the elements: -2.97 eV/f.u.
* DOS(E_F): 4.9 states/eV per cell

=====

# 6
A relaxed HgHSeBr2 crystal, computed with PBE-GGA.

```
HgHSeBr2
1.0
5.534 0.000 0.000
0.000 5.534 0.000
0.000 0.000 3.547
Br Hg H Se
2 1 1 1
Direct
0.000 0.500 0.000 Br
0.500 0.000 0.000 Br
0.500 0.500 0.500 Hg
0.000 0.000 0.000 H
0.000 0.000 0.500 Se
```

Output
* crystal system: tetragonal
* distance to the lowest polymorph of the same formula: 0.000 eV/atom
* DOS(E_F): 4.0 states/eV per cell

=====

# 7
A relaxed Li2HAu crystal, computed with PBE-GGA.

```
Li2HAu
1.0
5.472 0.000 0.000
0.000 6.327 0.000
0.000 0.000 6.338
Au H Li
4 4 8
Direct
0.562 0.500 0.000 Au
0.062 0.500 0.000 Au
0.562 0.000 0.500 Au
0.062 0.000 0.500 Au
0.563 0.999 0.999 H
0.563 0.501 0.499 H
0.063 0.001 0.001 H
0.063 0.499 0.501 H
0.313 0.858 0.143 Li
0.813 0.858 0.143 Li
0.813 0.642 0.643 Li
0.813 0.358 0.357 Li
0.313 0.358 0.357 Li
0.813 0.142 0.857 Li
0.313 0.142 0.857 Li
0.313 0.642 0.643 Li
```

Output
* crystal system: orthorhombic
* distance to the lowest polymorph of the same formula: 0.066 eV/atom
* DOS(E_F): 0.9 states/eV per cell

=====

# 8
A relaxed ReNi5 crystal, computed with PBE-GGA.

```
ReNi5
1.0
2.288 -3.963 0.000
2.288 3.963 0.000
0.000 0.000 4.004
Ni Re
5 1
Direct
0.667 0.333 0.000 Ni
0.333 0.667 0.000 Ni
0.500 0.000 0.500 Ni
0.000 0.500 0.500 Ni
0.500 0.500 0.500 Ni
0.000 0.000 0.000 Re
```

Output
* crystal system: hexagonal
* distance to the lowest polymorph of the same formula: 0.399 eV/atom
* formation energy from the elements: 2.36 eV/f.u.
* DOS(E_F): 9.9 states/eV per cell

=====

# 9
A relaxed K3La3ScTe8 crystal, computed with PBE-GGA.

```
K3La3ScTe8
1.0
-6.564 -3.453 5.335
8.766 -0.700 2.510
-4.236 8.996 0.609
Te La K Sc
8 3 3 1
Direct
0.223 0.446 0.703 Te
0.740 0.480 0.719 Te
0.242 0.019 0.297 Te
0.758 0.981 0.703 Te
0.260 0.520 0.281 Te
0.777 0.554 0.297 Te
0.223 0.981 0.703 Te
0.777 0.019 0.297 Te
0.000 0.500 0.500 La
0.500 0.000 0.500 La
0.500 0.500 0.500 La
0.500 0.500 0.000 K
0.000 0.500 0.000 K
0.000 0.000 0.000 K
0.000 0.000 0.500 Sc
```

Output
* crystal system: monoclinic
* DOS(E_F): 12.0 states/eV per cell
* raw formation energy: -1.338 eV/atom

=====

# 10
A relaxed CaOsBr crystal, computed with PBE-GGA.

```
CaOsBr
1.0
-5.183 -1.168 4.203
-2.619 -2.154 5.865
-0.139 2.659 1.794
Ca Br Os
1 1 1
Direct
0.335 0.335 0.665 Ca
0.992 0.992 0.008 Br
0.673 0.673 0.327 Os
```

Output
* crystal system: tetragonal
* distance to the lowest polymorph of the same formula: 0.070 eV/atom
* DOS(E_F): 1.9 states/eV per cell
* raw formation energy: 0.493 eV/atom

=====

# 11
A relaxed MgMn2Pt crystal, computed with PBE-GGA.

```
MgMn2Pt
1.0
4.407 0.000 0.000
2.203 3.816 0.000
2.203 1.272 3.598
Mn Mg Pt
2 1 1
Direct
0.250 0.250 0.250 Mn
0.000 0.000 0.000 Mn
0.500 0.500 0.500 Mg
0.750 0.750 0.750 Pt
```

Output
* crystal system: cubic
* formation energy from the elements: -0.91 eV/f.u.
* DOS(E_F): 3.5 states/eV per cell

=====

# 12
A relaxed NaCa2PuO6 crystal, computed with PBE-GGA.

```
NaCa2PuO6
1.0
-1.576 5.080 -2.024
-5.052 -0.336 3.092
3.663 3.991 6.420
Pu Ca O Na
2 4 12 2
Direct
0.000 0.500 0.000 Pu
0.500 0.000 0.500 Pu
0.023 0.945 0.266 Ca
0.977 0.055 0.734 Ca
0.477 0.445 0.234 Ca
0.523 0.555 0.766 Ca
0.669 0.268 0.596 O
0.169 0.232 0.096 O
0.863 0.584 0.216 O
0.714 0.320 0.954 O
0.831 0.768 0.904 O
0.214 0.180 0.454 O
0.286 0.680 0.046 O
0.331 0.732 0.404 O
0.786 0.820 0.546 O
0.137 0.416 0.784 O
0.363 0.916 0.716 O
0.637 0.084 0.284 O
0.500 0.000 0.000 Na
0.000 0.500 0.500 Na
```

Output
* crystal system: monoclinic
* raw formation energy: -2.623 eV/atom

=====

# 13
A relaxed MnAgHPd2 crystal, computed with PBE-GGA.

```
MnAgHPd2
1.0
-1.185 -3.129 -2.254
-1.053 -2.006 3.338
-3.694 1.563 -0.227
Pd Mn Ag H
2 1 1 1
Direct
0.500 0.000 0.000 Pd
0.000 0.500 0.000 Pd
0.000 0.000 0.500 Mn
0.500 0.500 0.500 Ag
0.000 0.000 0.000 H
```

Output
* crystal system: tetragonal
* distance to the lowest polymorph of the same formula: 0.000 eV/atom
* DOS(E_F): 1.6 states/eV per cell

=====

# 14
A relaxed LiMn2TeN crystal, computed with PBE-GGA.

```
LiMn2TeN
1.0
-3.385 -2.148 0.094
1.049 -1.803 -3.425
2.068 -3.159 2.296
Mn N Li Te
2 1 1 1
Direct
0.500 0.000 0.000 Mn
0.000 0.500 0.000 Mn
0.000 0.000 0.000 N
0.000 0.000 0.500 Li
0.500 0.500 0.500 Te
```

Output
* crystal system: tetragonal
* DOS(E_F): 3.2 states/eV per cell
* raw formation energy: -0.241 eV/atom

=====

# 15
A relaxed Li2Ga2RhO6 crystal, computed with PBE-GGA.

```
Li2Ga2RhO6
1.0
-0.209 -5.132 0.617
2.546 2.866 3.474
-4.881 1.224 1.281
O Rh Ga Li
6 1 2 2
Direct
0.059 0.402 0.716 O
0.741 0.741 0.715 O
0.402 0.059 0.716 O
0.259 0.259 0.285 O
0.598 0.941 0.284 O
0.941 0.598 0.284 O
0.000 0.000 0.500 Rh
0.336 0.664 0.500 Ga
0.664 0.336 0.500 Ga
0.834 0.166 0.000 Li
0.166 0.834 0.000 Li
```

Output
* crystal system: monoclinic
* DOS(E_F): 4.1 states/eV per cell
* raw formation energy: -1.572 eV/atom

=====

# 16
A relaxed BeB2 crystal, computed with PBE-GGA.

```
BeB2
1.0
-1.543 -2.643 2.434
1.425 -2.170 -1.454
4.393 2.660 0.335
Be B
2 4
Direct
0.824 0.500 0.808 Be
0.824 0.000 0.308 Be
0.478 0.500 0.976 B
0.475 0.500 0.297 B
0.475 0.000 0.797 B
0.478 0.000 0.476 B
```

Output
* crystal system: monoclinic
* distance to the lowest polymorph of the same formula: 0.074 eV/atom
* formation energy from the elements: -0.10 eV/f.u.
* DOS(E_F): 0.9 states/eV per cell

=====

# 17
A relaxed CrMo2Br crystal, computed with PBE-GGA.

```
CrMo2Br
1.0
-1.997 -0.258 2.051
2.387 -1.490 0.584
3.266 6.811 4.036
Mo Cr Br
2 1 1
Direct
0.000 0.000 0.529 Mo
0.000 0.000 0.971 Mo
0.500 0.500 0.750 Cr
0.500 0.500 0.250 Br
```

Output
* crystal system: orthorhombic
* distance to the lowest polymorph of the same formula: 0.181 eV/atom
* DOS(E_F): 4.7 states/eV per cell
* raw formation energy: 0.674 eV/atom

=====

# 18
A relaxed PrGa4Os crystal, computed with PBE-GGA.

```
PrGa4Os
1.0
4.490 0.000 0.000
0.000 5.817 0.000
-2.245 0.000 9.477
Ga Pr Os
8 2 2
Direct
0.210 0.486 0.421 Ga
0.790 0.986 0.579 Ga
0.655 0.750 0.309 Ga
0.210 0.014 0.421 Ga
0.000 0.000 0.000 Ga
0.790 0.514 0.579 Ga
0.345 0.250 0.691 Ga
0.000 0.500 0.000 Ga
0.604 0.250 0.207 Pr
0.396 0.750 0.793 Pr
0.101 0.750 0.202 Os
0.899 0.250 0.798 Os
```

Output
* crystal system: orthorhombic
* distance to the lowest polymorph of the same formula: 0.194 eV/atom
* formation energy from the elements: -1.61 eV/f.u.
* DOS(E_F): 5.0 states/eV per cell

=====

# 19
A relaxed Ca2TiCrP crystal, computed with PBE-GGA.

```
Ca2TiCrP
1.0
-2.357 -4.749 -0.976
0.816 -1.246 4.089
-4.742 2.031 1.566
Cr P Ca Ti
1 1 2 1
Direct
0.000 0.000 0.000 Cr
0.000 0.500 0.000 P
0.500 0.000 0.000 Ca
0.000 0.000 0.500 Ca
0.500 0.500 0.500 Ti
```

Output
* crystal system: tetragonal
* formation energy from the elements: 3.83 eV/f.u.
* DOS(E_F): 13.6 states/eV per cell

=====

# 20
A relaxed Hf2NpTe crystal, computed with PBE-GGA.

```
Hf2NpTe
1.0
3.210 0.000 0.000
1.605 2.780 0.000
1.605 0.927 10.766
Te Hf Np
1 2 1
Direct
0.500 0.500 0.500 Te
0.906 0.906 0.281 Hf
0.094 0.094 0.719 Hf
0.000 0.000 0.000 Np
```

Output
* crystal system: trigonal
* DOS(E_F): 6.9 states/eV per cell
* raw formation energy: 0.449 eV/atom

=====

| no. | DFT total energy (eV per atom) | total moment (μB/f.u.) |
| --- | --- | --- |
| 1 | -5.043 | 0.00 |
| 2 | -8.010 | 0.00 |
| 3 | -3.322 | 4.09 |
| 4 | -5.300 | 0.00 |
| 5 | -11.395 | 0.00 |
| 6 | -1.720 | 0.00 |
| 7 | -2.954 | 0.00 |
| 8 | -6.499 | 3.83 |
| 9 | -4.640 | 0.00 |
| 10 | -4.475 | 1.86 |
| 11 | -6.721 | 0.56 |
| 12 | -7.564 | 1.00 |
| 13 | -5.261 | 4.54 |
| 14 | -6.585 | 7.14 |
| 15 | -5.843 | 1.05 |
| 16 | -5.727 | 0.00 |
| 17 | -7.566 | 0.00 |
| 18 | -4.954 | 0.00 |
| 19 | -4.621 | 0.59 |
| 20 | -8.548 | 4.13 |